# 1
! TcAgMo2 (GGA-PBE, optimized geometry); values from VASP
! Distance to the lowest polymorph of the same formula = 13.0 kJ/mol of atoms
! VASP energy = -8.31 eV per atom
&SYSTEM
  ibrav = 0, nat = 4, ntyp = 3
/
ATOMIC_SPECIES
Tc 98.00 Tc.upf
Ag 107.87 Ag.upf
Mo 95.94 Mo.upf
CELL_PARAMETERS angstrom
2.7805 -4.0989 0.0000
2.7805 4.0989 0.0000
0.0000 0.0000 2.7614
ATOMIC_POSITIONS crystal
Tc 0.0000 0.0000 0.0000
Ag 0.5000 0.5000 0.0000
Mo 0.0000 0.5000 0.5000
Mo 0.5000 0.0000 0.5000

=====

# 2
! MnCuS2 (GGA-PBE, optimized geometry); values from VASP
! Uncorrected formation energy = -414 meV per atom
! VASP energy = -5.79 eV per atom
&SYSTEM
  ibrav = 0, nat = 8, ntyp = 3
/
ATOMIC_SPECIES
Mn 54.94 Mn.upf
Cu 63.55 Cu.upf
S 32.06 S.upf
CELL_PARAMETERS angstrom
3.4578 0.0000 0.0000
-0.1096 5.8939 0.0000
-1.6314 -0.8361 7.2057
ATOMIC_POSITIONS crystal
Mn 0.0000 0.0000 0.0000
Mn 0.3534 0.9293 0.6968
Cu 0.6226 0.5807 0.2281
Cu 0.7247 0.9903 0.4201
S 0.2185 0.7082 0.4275
S 0.4624 0.7277 0.9415
S 0.5907 0.1965 0.1757
S 0.8742 0.1808 0.7241